(A)
Density functional theory data (PBE-GGA) for a relaxed RbInNi3 crystal.

Cell: 4.724 4.724 4.724 Å, 90.00 90.00 90.00°
Positions (direct):
Rb (0.000, 0.000, 0.000)
In (0.500, 0.500, 0.500)
Ni (0.000, 0.000, 0.500)
Ni (0.500, 0.000, 0.000)
Ni (0.000, 0.500, 0.000)

(B)
Density functional theory data (PBE-GGA) for a relaxed RbInNi3 crystal.

Cell: 4.919 4.919 4.919 Å, 90.00 90.00 90.00°
Positions (direct):
In (0.000, 0.000, 0.000)
Rb (0.500, 0.500, 0.500)
Ni (0.000, 0.500, 0.000)
Ni (0.500, 0.000, 0.000)
Ni (0.000, 0.000, 0.500)

The most stable of them is (B).

(A)
Density functional theory data (PBE-GGA) for a relaxed In2ReNi crystal.

Cell: 4.016 4.016 9.788 Å, 78.16 78.16 90.00°
Positions (direct):
Ni (0.250, 0.750, 0.500)
Ni (0.500, 0.500, 0.000)
In (0.623, 0.125, 0.250)
In (0.875, 0.873, 0.750)
In (0.127, 0.625, 0.250)
In (0.375, 0.377, 0.750)
Re (0.750, 0.250, 0.500)
Re (0.000, 0.000, 0.000)

(B)
Density functional theory data (PBE-GGA) for a relaxed In2ReNi crystal.

Cell: 8.911 8.911 8.911 Å, 19.39 19.39 19.39°
Each line ends with the local moment (μB).
Positions (direct):
In (0.505, 0.505, 0.505)  0.00
In (0.995, 0.995, 0.995)  0.00
Re (0.750, 0.750, 0.750)  0.24
Ni (0.250, 0.250, 0.250)  0.00

The most stable of them is (B).

(A)
Density functional theory data (PBE-GGA) for a relaxed In2ReNi crystal.

Cell: 4.734 4.734 5.396 Å, 79.09 79.09 35.42°
Positions (direct):
Re (0.750, 0.750, 0.750)
In (0.993, 0.993, 0.009)
In (0.507, 0.507, 0.491)
Ni (0.250, 0.250, 0.250)

(B)
Density functional theory data (PBE-GGA) for a relaxed In2ReNi crystal.

Cell: 4.578 4.578 4.578 Å, 60.00 60.00 60.00°
Positions (direct):
In (0.750, 0.750, 0.750)
In (0.250, 0.250, 0.250)
Ni (0.000, 0.000, 0.000)
Re (0.500, 0.500, 0.500)

(C)
Density functional theory data (PBE-GGA) for a relaxed In2ReNi crystal.

Cell: 2.925 2.925 8.438 Å, 90.00 90.00 90.00°
Positions (direct):
Ni (0.000, 0.000, 0.530)
In (0.500, 0.500, 0.303)
In (0.000, 0.000, 0.960)
Re (0.500, 0.500, 0.707)

The most stable of them is (C).

(A)
Density functional theory data (PBE-GGA) for a relaxed In2ReNi crystal.

Cell: 4.906 4.906 2.909 Å, 90.00 90.00 104.05°
Positions (direct):
Ni (0.500, 0.000, 0.500)
Re (0.000, 0.500, 0.500)
In (0.000, 0.000, 0.000)
In (0.500, 0.500, 0.000)

(B)
Density functional theory data (PBE-GGA) for a relaxed In2ReNi crystal.

Cell: 2.905 4.107 5.833 Å, 90.00 90.00 90.00°
Positions (direct):
Ni (0.000, 0.000, 0.504)
In (0.000, 0.000, 0.962)
In (0.500, 0.500, 0.284)
Re (0.500, 0.500, 0.749)

(C)
Density functional theory data (PBE-GGA) for a relaxed In2ReNi crystal.

Cell: 4.196 3.427 5.372 Å, 71.32 90.00 90.00°
Positions (direct):
Ni (0.000, 0.684, 0.507)
In (0.000, 0.969, 0.936)
In (0.500, 0.284, 0.307)
Re (0.500, 0.563, 0.749)

The most stable of them is (A).